No. 1
This record from Alexandria describes Ba3Sr at its PBEsol-relaxed geometry. The functional is SCAN.

The structure in POSCAR format:
```
Ba3Sr
1.0
-0.595 -0.259 -4.248
0.239 -7.055 0.396
-7.373 -0.191 1.044
Sr Ba
1 3
Direct
0.000 0.500 0.334
0.000 0.000 0.000
0.500 0.000 0.499
0.500 0.500 0.833
```

- Distance to the lowest polymorph of the same formula: 18 meV/atom
- Energy of formation: 9 kJ/mol of formula units
- Total magnetic moment: 0.24 μB per formula unit

No. 2
This record from Alexandria describes Ba5Sr3 at its PBEsol-relaxed geometry. The functional is SCAN.

The structure in POSCAR format:
```
Ba5Sr3
1.0
-6.399 1.895 -3.906
-2.579 -11.389 -1.300
-3.969 5.891 9.359
Ba Sr
10 6
Direct
0.000 0.667 0.333
0.500 0.333 0.667
0.000 0.333 0.667
0.500 0.667 0.333
0.750 0.764 0.764
0.250 0.236 0.236
0.750 0.000 0.236
0.750 0.236 0.000
0.250 0.764 0.000
0.250 0.000 0.764
0.750 0.412 0.412
0.250 0.588 0.588
0.750 0.000 0.588
0.750 0.588 0.000
0.250 0.412 0.000
0.250 0.000 0.412
```

- Distance to the lowest polymorph of the same formula: 82 meV/atom
- Energy of formation: 73 kJ/mol of formula units
- Total magnetic moment: 0.97 μB per formula unit

No. 3
This record from Alexandria describes Ba2Sr at its PBEsol-relaxed geometry. The functional is SCAN.

The structure in POSCAR format:
```
Ba2Sr
1.0
-3.618 -2.868 1.362
3.016 -3.750 0.117
1.793 4.726 6.209
Sr Ba
1 2
Direct
0.000 0.000 0.000
0.336 0.336 0.672
0.664 0.664 0.328
```

- Distance to the lowest polymorph of the same formula: 4 meV/atom
- Energy of formation: 4 kJ/mol of formula units
- Total magnetic moment: 0.02 μB per formula unit

No. 4
This record from Alexandria describes Ba2Sr at its PBEsol-relaxed geometry. The functional is SCAN.

The structure in POSCAR format:
```
Ba2Sr
1.0
-4.075 0.902 -0.815
-0.004 -3.132 7.651
1.952 9.970 1.279
Sr Ba
2 4
Direct
0.303 0.607 0.359
0.697 0.393 0.641
0.970 0.940 0.690
0.639 0.278 0.025
0.361 0.722 0.975
0.030 0.060 0.310
```

- Distance to the lowest polymorph of the same formula: 19 meV/atom
- Energy of formation: 9 kJ/mol of formula units
- Total magnetic moment: 0.23 μB per formula unit

No. 5
This record from Alexandria describes Ba2Sr3 at its PBEsol-relaxed geometry. The functional is SCAN.

The structure in POSCAR format:
```
Ba2Sr3
1.0
-0.153 4.018 -1.363
-2.357 2.857 2.075
12.859 6.243 10.355
Sr Ba
3 2
Direct
0.000 0.000 0.000
0.801 0.801 0.597
0.199 0.199 0.403
0.401 0.401 0.798
0.599 0.599 0.202
```

- Energy of formation: 10 kJ/mol of formula units
- Total magnetic moment: 0.16 μB per formula unit

No. 6
This record from Alexandria describes Ba2Sr at its PBEsol-relaxed geometry. The functional is SCAN.

The structure in POSCAR format:
```
Ba2Sr
1.0
4.119 0.000 0.000
0.000 4.119 0.000
-2.060 -2.060 20.216
Sr Ba
2 4
Direct
0.250 0.750 0.500
0.000 0.000 0.000
0.830 0.330 0.661
0.420 0.420 0.839
0.670 0.170 0.339
0.580 0.580 0.161
```

- Distance to the lowest polymorph of the same formula: 69 meV/atom
- Energy of formation: 23 kJ/mol of formula units
- Total magnetic moment: 0.03 μB per formula unit

No. 7
This record from Alexandria describes Ba3Sr at its PBEsol-relaxed geometry. The functional is SCAN.

The structure in POSCAR format:
```
Ba3Sr
1.0
-1.448 3.464 -2.150
-4.335 0.812 4.229
5.387 5.075 4.547
Sr Ba
1 3
Direct
0.000 0.000 0.000
0.500 0.500 0.753
0.000 0.000 0.500
0.500 0.500 0.247
```

- Distance to the lowest polymorph of the same formula: 23 meV/atom
- Energy of formation: 11 kJ/mol of formula units
- Total magnetic moment: 0.17 μB per formula unit

No. 8
This record from Alexandria describes BaSr3 at its PBEsol-relaxed geometry. The functional is SCAN.

The structure in POSCAR format:
```
BaSr3
1.0
-2.350 3.292 -1.208
-2.388 0.825 6.893
6.856 2.479 0.793
Sr Ba
3 1
Direct
0.500 0.500 0.000
0.751 0.253 0.503
0.249 0.747 0.497
0.000 0.000 0.000
```

- Distance to the lowest polymorph of the same formula: 4 meV/atom
- Energy of formation: 7 kJ/mol of formula units
- Total magnetic moment: 0.32 μB per formula unit

The lowest energy of formation belongs to which entry?
number 3